Entry w
The following is a PBE calculation of a relaxed Sc3Cd2In crystal, from the Alexandria database.

Geometry as CIF:
```
data_Sc3Cd2In
_chemical_formula_sum 'Sc3 Cd2 In1'
_symmetry_space_group_name_H-M 'P -3 m 1'
_symmetry_Int_Tables_number 164
_symmetry_space_group_name_Hall '-P 3 2"'
_cell_length_a 5.0102
_cell_length_b 5.0102
_cell_length_c 6.1490
_cell_angle_alpha 90.00
_cell_angle_beta 90.00
_cell_angle_gamma 120.00
loop_
_atom_site_label
_atom_site_type_symbol
_atom_site_fract_x
_atom_site_fract_y
_atom_site_fract_z
Sc1 Sc 0.0000 0.0000 0.0000
Sc2 Sc 0.3333 0.6667 0.6654
Cd1 Cd 0.3333 0.6667 0.1568
In1 In 0.0000 0.0000 0.5000
```

***

Entry x
The following is a PBE calculation of a relaxed Sc3Cd2In crystal, from the Alexandria database.

Geometry as CIF:
```
data_Sc3Cd2In
_chemical_formula_sum 'Sc3 Cd2 In1'
_symmetry_space_group_name_H-M 'P 4/m m m'
_symmetry_Int_Tables_number 123
_symmetry_space_group_name_Hall '-P 4 2'
_cell_length_a 3.560
_cell_length_b 3.560
_cell_length_c 10.545
_cell_angle_alpha 90.00
_cell_angle_beta 90.00
_cell_angle_gamma 90.00
loop_
_atom_site_label
_atom_site_type_symbol
_atom_site_fract_x
_atom_site_fract_y
_atom_site_fract_z
Sc1 Sc 0.000 0.000 0.000
Sc2 Sc 0.000 0.000 0.330
Cd1 Cd 0.500 0.500 0.164
In1 In 0.500 0.500 0.500
```

***

entry w (8 meV per atom below the next structure)

***

Entry w
The following is a PBE calculation of a relaxed Sc2Cd2In crystal, from the Alexandria database.

Geometry as CIF:
```
data_Sc2Cd2In
_chemical_formula_sum 'Sc4 Cd4 In2'
_symmetry_space_group_name_H-M 'I 4/m m m'
_symmetry_Int_Tables_number 139
_symmetry_space_group_name_Hall '-I 4 2'
_cell_length_a 4.447
_cell_length_b 4.447
_cell_length_c 13.000
_cell_angle_alpha 90.00
_cell_angle_beta 90.00
_cell_angle_gamma 90.00
loop_
_atom_site_label
_atom_site_type_symbol
_atom_site_fract_x
_atom_site_fract_y
_atom_site_fract_z
Sc1 Sc 0.000 0.500 0.250
Cd1 Cd 0.000 0.000 0.102
In1 In 0.000 0.000 0.500
```

***

Entry x
The following is a PBE calculation of a relaxed Sc2Cd2In crystal, from the Alexandria database.

Geometry as CIF:
```
data_Sc2Cd2In
_chemical_formula_sum 'Sc4 Cd4 In2'
_symmetry_space_group_name_H-M 'C m m m'
_symmetry_Int_Tables_number 65
_symmetry_space_group_name_Hall '-C 2 2'
_cell_length_a 4.690
_cell_length_b 14.926
_cell_length_c 3.177
_cell_angle_alpha 90.00
_cell_angle_beta 90.00
_cell_angle_gamma 90.00
loop_
_atom_site_label
_atom_site_type_symbol
_atom_site_fract_x
_atom_site_fract_y
_atom_site_fract_z
Sc1 Sc 0.000 0.108 0.000
Cd1 Cd 0.000 0.300 0.500
In1 In 0.000 0.500 0.500
```

***

Entry y
The following is a PBE calculation of a relaxed Sc2Cd2In crystal, from the Alexandria database.

Geometry as CIF:
```
data_Sc2Cd2In
_chemical_formula_sum 'Sc4 Cd4 In2'
_symmetry_space_group_name_H-M 'I 4/m m m'
_symmetry_Int_Tables_number 139
_symmetry_space_group_name_Hall '-I 4 2'
_cell_length_a 3.971
_cell_length_b 3.971
_cell_length_c 15.984
_cell_angle_alpha 90.00
_cell_angle_beta 90.00
_cell_angle_gamma 90.00
loop_
_atom_site_label
_atom_site_type_symbol
_atom_site_fract_x
_atom_site_fract_y
_atom_site_fract_z
Sc1 Sc 0.000 0.000 0.095
Cd1 Cd 0.000 0.500 0.250
In1 In 0.000 0.000 0.500
```

***

entry x (327 meV per atom below the next structure)

***

Entry w
The following is a PBE calculation of a relaxed Cd3InSe crystal, from the Alexandria database.

Geometry as CIF:
```
data_Cd3InSe
_chemical_formula_sum 'Cd3 In1 Se1'
_symmetry_space_group_name_H-M 'P m -3 m'
_symmetry_Int_Tables_number 221
_symmetry_space_group_name_Hall '-P 4 2 3'
_cell_length_a 5.431
_cell_length_b 5.431
_cell_length_c 5.431
_cell_angle_alpha 90.00
_cell_angle_beta 90.00
_cell_angle_gamma 90.00
loop_
_atom_site_label
_atom_site_type_symbol
_atom_site_fract_x
_atom_site_fract_y
_atom_site_fract_z
Cd1 Cd 0.000 0.000 0.500
In1 In 0.000 0.000 0.000
Se1 Se 0.500 0.500 0.500
```

***

Entry x
The following is a PBE calculation of a relaxed Cd3InSe crystal, from the Alexandria database.

Geometry as CIF:
```
data_Cd3InSe
_chemical_formula_sum 'Cd3 In1 Se1'
_symmetry_space_group_name_H-M 'P m -3 m'
_symmetry_Int_Tables_number 221
_symmetry_space_group_name_Hall '-P 4 2 3'
_cell_length_a 5.450
_cell_length_b 5.450
_cell_length_c 5.450
_cell_angle_alpha 90.00
_cell_angle_beta 90.00
_cell_angle_gamma 90.00
loop_
_atom_site_label
_atom_site_type_symbol
_atom_site_fract_x
_atom_site_fract_y
_atom_site_fract_z
Cd1 Cd 0.000 0.000 0.500
In1 In 0.500 0.500 0.500
Se1 Se 0.000 0.000 0.000
```

***

entry x (88 meV per atom below the next structure)

***

Entry w
The following is a PBE calculation of a relaxed CdIn3Se crystal, from the Alexandria database.

Geometry as CIF:
```
data_CdIn3Se
_chemical_formula_sum 'Cd1 In3 Se1'
_symmetry_space_group_name_H-M 'P m -3 m'
_symmetry_Int_Tables_number 221
_symmetry_space_group_name_Hall '-P 4 2 3'
_cell_length_a 5.458
_cell_length_b 5.458
_cell_length_c 5.458
_cell_angle_alpha 90.00
_cell_angle_beta 90.00
_cell_angle_gamma 90.00
loop_
_atom_site_label
_atom_site_type_symbol
_atom_site_fract_x
_atom_site_fract_y
_atom_site_fract_z
Cd1 Cd 0.000 0.000 0.000
In1 In 0.000 0.000 0.500
Se1 Se 0.500 0.500 0.500
```

***

Entry x
The following is a PBE calculation of a relaxed CdIn3Se crystal, from the Alexandria database.

Geometry as CIF:
```
data_CdIn3Se
_chemical_formula_sum 'Cd1 In3 Se1'
_symmetry_space_group_name_H-M 'P m -3 m'
_symmetry_Int_Tables_number 221
_symmetry_space_group_name_Hall '-P 4 2 3'
_cell_length_a 5.683
_cell_length_b 5.683
_cell_length_c 5.683
_cell_angle_alpha 90.00
_cell_angle_beta 90.00
_cell_angle_gamma 90.00
loop_
_atom_site_label
_atom_site_type_symbol
_atom_site_fract_x
_atom_site_fract_y
_atom_site_fract_z
Cd1 Cd 0.000 0.000 0.000
In1 In 0.000 0.500 0.500
Se1 Se 0.500 0.500 0.500
```

***

entry w (44 meV per atom below the next structure)

***

Entry w
The following is a PBE calculation of a relaxed Cd2In2Si crystal, from the Alexandria database.

Geometry as CIF:
```
data_Cd2In2Si
_chemical_formula_sum 'Cd4 In4 Si2'
_symmetry_space_group_name_H-M 'P 4/m b m'
_symmetry_Int_Tables_number 127
_symmetry_space_group_name_Hall '-P 4 2ab'
_cell_length_a 7.107
_cell_length_b 7.107
_cell_length_c 4.980
_cell_angle_alpha 90.00
_cell_angle_beta 90.00
_cell_angle_gamma 90.00
loop_
_atom_site_label
_atom_site_type_symbol
_atom_site_fract_x
_atom_site_fract_y
_atom_site_fract_z
Cd1 Cd 0.144 0.356 0.000
In1 In 0.169 0.669 0.500
Si1 Si 0.000 0.000 0.000
```

***

Entry x
The following is a PBE calculation of a relaxed Cd2In2Si crystal, from the Alexandria database.

Geometry as CIF:
```
data_Cd2In2Si
_chemical_formula_sum 'Cd4 In4 Si2'
_symmetry_space_group_name_H-M 'P 4/m b m'
_symmetry_Int_Tables_number 127
_symmetry_space_group_name_Hall '-P 4 2ab'
_cell_length_a 8.361
_cell_length_b 8.361
_cell_length_c 3.544
_cell_angle_alpha 90.00
_cell_angle_beta 90.00
_cell_angle_gamma 90.00
loop_
_atom_site_label
_atom_site_type_symbol
_atom_site_fract_x
_atom_site_fract_y
_atom_site_fract_z
Cd1 Cd 0.124 0.376 0.000
In1 In 0.180 0.680 0.500
Si1 Si 0.000 0.000 0.500
```

***

entry w (94 meV per atom below the next structure)

***

Entry w
The following is a PBE calculation of a relaxed CdInSi crystal, from the Alexandria database.

Geometry as CIF:
```
data_CdInSi
_chemical_formula_sum 'Cd2 In2 Si2'
_symmetry_space_group_name_H-M 'I m m 2'
_symmetry_Int_Tables_number 44
_symmetry_space_group_name_Hall 'I 2 -2'
_cell_length_a 3.106
_cell_length_b 4.123
_cell_length_c 10.358
_cell_angle_alpha 90.00
_cell_angle_beta 90.00
_cell_angle_gamma 90.00
loop_
_atom_site_label
_atom_site_type_symbol
_atom_site_fract_x
_atom_site_fract_y
_atom_site_fract_z
Cd1 Cd 0.000 0.000 0.000
In1 In 0.000 0.000 0.689
Si1 Si 0.000 0.000 0.353
```

***

Entry x
The following is a PBE calculation of a relaxed CdInSi crystal, from the Alexandria database.

Geometry as CIF:
```
data_CdInSi
_chemical_formula_sum 'Cd4 In4 Si4'
_symmetry_space_group_name_H-M 'F -4 3 m'
_symmetry_Int_Tables_number 216
_symmetry_space_group_name_Hall 'F -4 2 3'
_cell_length_a 6.632
_cell_length_b 6.632
_cell_length_c 6.632
_cell_angle_alpha 90.00
_cell_angle_beta 90.00
_cell_angle_gamma 90.00
loop_
_atom_site_label
_atom_site_type_symbol
_atom_site_fract_x
_atom_site_fract_y
_atom_site_fract_z
Cd1 Cd 0.000 0.000 0.000
In1 In 0.000 0.000 0.500
Si1 Si 0.250 0.250 0.750
```

***

entry x (88 meV per atom below the next structure)